! LaY2RePd, optimized geometry, DFT PBE-GGA; values from VASP
&SYSTEM
  ibrav = 0, nat = 5, ntyp = 4
/
ATOMIC_SPECIES
Y 88.91 Y.upf
Re 186.21 Re.upf
Pd 106.42 Pd.upf
La 138.91 La.upf
ATOMIC_POSITIONS angstrom
Y -0.5740 -2.6381 -0.4775
Y -0.1970 0.5286 -2.6831
Re 2.2878 -0.4513 -0.2569
Pd 1.5167 -2.5608 -3.4175
La 0.0000 0.0000 0.0000
CELL_PARAMETERS angstrom
-0.3941 1.0571 -5.3661
4.5756 -0.9026 -0.5138
-1.1481 -5.2761 -0.9551
! space group = P4/mmm (123)
! calculated volume = 28.216 Å³ per atom
! formation enthalpy at 0 K = 1.333 eV/atom
! electronic total energy = -5.766 eV per atom